Entry 1:
Density functional theory data (PBE) for crystalline Pr4Bi2H at its relaxed geometry.

Values from the calculation:
Size of the total moment in μB/f.u.: 0.39
DOS(E_F) in states/eV/atom: 1.152
Energy above the lowest structure with this stoichiometry in eV/atom: 0.000
Crystal system: tetragonal

Cell and atoms, written as CIF:
```
data_Pr4Bi2H
_symmetry_space_group_name_H-M 'I 4/m m m'
_symmetry_Int_Tables_number 139
_symmetry_space_group_name_Hall '-I 4 2'
_cell_length_a 4.705
_cell_length_b 4.705
_cell_length_c 18.208
_cell_angle_alpha 90.00
_cell_angle_beta 90.00
_cell_angle_gamma 90.00
loop_
_atom_site_label
_atom_site_fract_x
_atom_site_fract_y
_atom_site_fract_z
Pr1 0.000 0.000 0.179
Pr2 0.000 0.500 0.000
Bi1 0.000 0.000 0.362
H1 0.000 0.000 0.000
```



Entry 2:
Density functional theory data (PBE) for crystalline HfV3Os at its relaxed geometry.

Values from the calculation:
DFT formation energy in meV per atom: 2020
Size of the total moment in μB/f.u.: 0.00
DOS(E_F) in states/eV/atom: 2.004
Energy above the lowest structure with this stoichiometry in eV/atom: 1.151
Crystal system: cubic

Cell and atoms, written as CIF:
```
data_HfV3Os
_symmetry_space_group_name_H-M 'P m -3 m'
_symmetry_Int_Tables_number 221
_symmetry_space_group_name_Hall '-P 4 2 3'
_cell_length_a 4.490
_cell_length_b 4.490
_cell_length_c 4.490
_cell_angle_alpha 90.00
_cell_angle_beta 90.00
_cell_angle_gamma 90.00
loop_
_atom_site_label
_atom_site_fract_x
_atom_site_fract_y
_atom_site_fract_z
Hf1 0.000 0.000 0.000
V1 0.000 0.000 0.500
Os1 0.500 0.500 0.500
```



Entry 3:
Density functional theory data (PBE) for crystalline NdSmSe3 at its relaxed geometry.

Values from the calculation:
Size of the total moment in μB/f.u.: 0.00
DOS(E_F) in states/eV/atom: 0.005
Raw formation energy in eV per formula unit: -9.21
Energy above the lowest structure with this stoichiometry in eV/atom: 0.062
Crystal system: orthorhombic

Cell and atoms, written as CIF:
```
data_NdSmSe3
_symmetry_space_group_name_H-M 'P m m n'
_symmetry_Int_Tables_number 59
_cell_length_a 4.167
_cell_length_b 7.194
_cell_length_c 9.194
_cell_angle_alpha 90.00
_cell_angle_beta 90.00
_cell_angle_gamma 90.00
loop_
_symmetry_equiv_pos_as_xyz
'x,y,z'
'-x,-y,-z'
'-x+1/2,-y+1/2,z'
'x+1/2,y+1/2,-z'
'x+1/2,-y,-z'
'-x+1/2,y,z'
'-x,y+1/2,-z'
'x,-y+1/2,z'
loop_
_atom_site_label
_atom_site_fract_x
_atom_site_fract_y
_atom_site_fract_z
Nd1 0.250 0.250 0.150
Sm1 0.250 0.750 0.397
Se1 0.250 0.523 0.669
Se2 0.250 0.750 0.067
```



Entry 4:
Density functional theory data (PBE) for crystalline ScCu2HgPt at its relaxed geometry.

Values from the calculation:
DFT formation energy in meV per atom: 800
Size of the total moment in μB/f.u.: 0.00
DOS(E_F) in states/eV/atom: 0.649
Crystal system: tetragonal

Cell and atoms, written as CIF:
```
data_ScCu2HgPt
_symmetry_space_group_name_H-M 'P 4/m m m'
_symmetry_Int_Tables_number 123
_symmetry_space_group_name_Hall '-P 4 2'
_cell_length_a 4.878
_cell_length_b 4.878
_cell_length_c 4.830
_cell_angle_alpha 90.00
_cell_angle_beta 90.00
_cell_angle_gamma 90.00
loop_
_atom_site_label
_atom_site_fract_x
_atom_site_fract_y
_atom_site_fract_z
Sc1 0.000 0.000 0.000
Cu1 0.000 0.500 0.000
Hg1 0.500 0.500 0.500
Pt1 0.000 0.000 0.500
```



Entry 5:
Density functional theory data (PBE) for crystalline Sn5GePd3 at its relaxed geometry.

Values from the calculation:
DFT formation energy in meV per atom: -199
Size of the total moment in μB/f.u.: 0.00
DOS(E_F) in states/eV/atom: 0.403
Crystal system: monoclinic

Cell and atoms, written as CIF:
```
data_Sn5GePd3
_symmetry_space_group_name_H-M 'C 1 2/m 1'
_symmetry_Int_Tables_number 12
_symmetry_space_group_name_Hall '-C 2y'
_cell_length_a 11.465
_cell_length_b 9.198
_cell_length_c 9.817
_cell_angle_alpha 90.00
_cell_angle_beta 121.12
_cell_angle_gamma 90.00
loop_
_atom_site_label
_atom_site_fract_x
_atom_site_fract_y
_atom_site_fract_z
Sn1 0.000 0.207 0.000
Sn2 0.073 0.000 0.374
Sn3 0.134 0.277 0.704
Sn4 0.234 0.500 0.008
Ge1 0.079 0.500 0.301
Pd1 0.000 0.500 0.000
Pd2 0.000 0.500 0.500
Pd3 0.179 0.000 0.192
Pd4 0.201 0.000 0.689
```



Entry 6:
Density functional theory data (PBE) for crystalline YCo3Si at its relaxed geometry.

Values from the calculation:
Size of the total moment in μB/f.u.: 0.00
DOS(E_F) in states/eV/atom: 0.277
Raw formation energy in eV per formula unit: -0.36
Energy above the lowest structure with this stoichiometry in eV/atom: 0.219
Crystal system: cubic

Cell and atoms, written as CIF:
```
data_YCo3Si
_symmetry_space_group_name_H-M 'P m -3 m'
_symmetry_Int_Tables_number 221
_symmetry_space_group_name_Hall '-P 4 2 3'
_cell_length_a 4.244
_cell_length_b 4.244
_cell_length_c 4.244
_cell_angle_alpha 90.00
_cell_angle_beta 90.00
_cell_angle_gamma 90.00
loop_
_atom_site_label
_atom_site_fract_x
_atom_site_fract_y
_atom_site_fract_z
Y1 0.000 0.000 0.000
Co1 0.000 0.500 0.500
Si1 0.500 0.500 0.500
```



Entry 7:
Density functional theory data (PBE) for crystalline NaDyGa2Au2 at its relaxed geometry.

Values from the calculation:
DFT formation energy in meV per atom: -543
Size of the total moment in μB/f.u.: 0.00
DOS(E_F) in states/eV/atom: 0.478
Crystal system: trigonal

Cell and atoms, written as CIF:
```
data_NaDyGa2Au2
_symmetry_space_group_name_H-M 'P -3 m 1'
_symmetry_Int_Tables_number 164
_symmetry_space_group_name_Hall '-P 3 2"'
_cell_length_a 4.5602
_cell_length_b 4.5602
_cell_length_c 6.9544
_cell_angle_alpha 90.00
_cell_angle_beta 90.00
_cell_angle_gamma 120.00
loop_
_atom_site_label
_atom_site_fract_x
_atom_site_fract_y
_atom_site_fract_z
Na1 0.0000 0.0000 0.0000
Dy1 0.0000 0.0000 0.5000
Ga1 0.3333 0.6667 0.7540
Au1 0.3333 0.6667 0.2651
```



Entry 8:
Density functional theory data (PBE) for crystalline Tb5SmHo2Th at its relaxed geometry.

Values from the calculation:
DFT formation energy in meV per atom: 159
Size of the total moment in μB/f.u.: 0.00
DOS(E_F) in states/eV/atom: 1.262
Crystal system: orthorhombic

Cell and atoms, written as CIF:
```
data_Tb5SmHo2Th
_symmetry_space_group_name_H-M 'C m c 21'
_symmetry_Int_Tables_number 36
_symmetry_space_group_name_Hall 'C 2c -2'
_cell_length_a 5.724
_cell_length_b 21.495
_cell_length_c 9.743
_cell_angle_alpha 90.00
_cell_angle_beta 90.00
_cell_angle_gamma 90.00
loop_
_atom_site_label
_atom_site_fract_x
_atom_site_fract_y
_atom_site_fract_z
Tb1 0.000 0.014 0.000
Tb2 0.000 0.273 0.697
Tb3 0.000 0.304 0.305
Tb4 0.000 0.400 0.977
Tb5 0.000 0.468 0.277
Sm1 0.000 0.189 0.000
Ho1 0.000 0.117 0.686
Ho2 0.000 0.127 0.305
Th1 0.000 0.407 0.597
```



Entry 9:
Density functional theory data (PBE) for crystalline BaMn2Mo at its relaxed geometry.

Values from the calculation:
DFT formation energy in meV per atom: 1124
Size of the total moment in μB/f.u.: 6.23
DOS(E_F) in states/eV/atom: 0.854
Energy above the lowest structure with this stoichiometry in eV/atom: 0.569
Crystal system: orthorhombic

Cell and atoms, written as CIF:
```
data_BaMn2Mo
_symmetry_space_group_name_H-M 'C m m m'
_symmetry_Int_Tables_number 65
_symmetry_space_group_name_Hall '-C 2 2'
_cell_length_a 6.146
_cell_length_b 8.133
_cell_length_c 3.207
_cell_angle_alpha 90.00
_cell_angle_beta 90.00
_cell_angle_gamma 90.00
loop_
_atom_site_label
_atom_site_fract_x
_atom_site_fract_y
_atom_site_fract_z
Ba1 0.000 0.000 0.000
Mn1 0.250 0.250 0.500
Mo1 0.000 0.500 0.000
```



Entry 10:
Density functional theory data (PBE) for crystalline CaCuSi2 at its relaxed geometry.

Values from the calculation:
Size of the total moment in μB/f.u.: 0.00
DOS(E_F) in states/eV/atom: 0.372
Raw formation energy in eV per formula unit: -0.55
Crystal system: orthorhombic

Cell and atoms, written as CIF:
```
data_CaCuSi2
_symmetry_space_group_name_H-M 'P m m m'
_symmetry_Int_Tables_number 47
_symmetry_space_group_name_Hall '-P 2 2'
_cell_length_a 3.128
_cell_length_b 4.076
_cell_length_c 5.784
_cell_angle_alpha 90.00
_cell_angle_beta 90.00
_cell_angle_gamma 90.00
loop_
_atom_site_label
_atom_site_fract_x
_atom_site_fract_y
_atom_site_fract_z
Ca1 0.000 0.000 0.000
Cu1 0.500 0.000 0.500
Si1 0.500 0.500 0.288
```



Entry 11:
Density functional theory data (PBE) for crystalline Y2AlPdI at its relaxed geometry.

Values from the calculation:
Size of the total moment in μB/f.u.: 0.00
DOS(E_F) in states/eV/atom: 0.384
Raw formation energy in eV per formula unit: 1.29
Crystal system: tetragonal

Cell and atoms, written as CIF:
```
data_Y2AlPdI
_symmetry_space_group_name_H-M 'P 4/m m m'
_symmetry_Int_Tables_number 123
_symmetry_space_group_name_Hall '-P 4 2'
_cell_length_a 5.614
_cell_length_b 5.614
_cell_length_c 4.910
_cell_angle_alpha 90.00
_cell_angle_beta 90.00
_cell_angle_gamma 90.00
loop_
_atom_site_label
_atom_site_fract_x
_atom_site_fract_y
_atom_site_fract_z
Y1 0.000 0.500 0.000
Al1 0.000 0.000 0.500
Pd1 0.500 0.500 0.500
I1 0.500 0.500 0.000
```



Entry 12:
Density functional theory data (PBE) for crystalline La4Nd4Y3 at its relaxed geometry.

Values from the calculation:
DFT formation energy in meV per atom: 18
Size of the total moment in μB/f.u.: 0.00
DOS(E_F) in states/eV/atom: 1.539
Energy above the lowest structure with this stoichiometry in eV/atom: 0.000
Crystal system: orthorhombic

Cell and atoms, written as CIF:
```
data_La4Nd4Y3
_symmetry_space_group_name_H-M 'I m m m'
_symmetry_Int_Tables_number 71
_symmetry_space_group_name_Hall '-I 2 2'
_cell_length_a 3.671
_cell_length_b 5.201
_cell_length_c 40.354
_cell_angle_alpha 90.00
_cell_angle_beta 90.00
_cell_angle_gamma 90.00
loop_
_atom_site_label
_atom_site_fract_x
_atom_site_fract_y
_atom_site_fract_z
La1 0.000 0.000 0.046
La2 0.000 0.000 0.318
Nd1 0.000 0.000 0.227
Nd2 0.000 0.000 0.409
Y1 0.000 0.000 0.136
Y2 0.000 0.000 0.500
```



| no. | total energy (eV per cell) |
| --- | --- |
| 1 | -70.08 |
| 2 | -38.44 |
| 3 | -58.31 |
| 4 | -16.87 |
| 5 | -168.00 |
| 6 | -33.56 |
| 7 | -21.78 |
| 8 | -172.05 |
| 9 | -53.20 |
| 10 | -17.49 |
| 11 | -22.12 |
| 12 | -115.94 |